(1)
Here is AuCl4 after structural relaxation from Alexandria. Energies are from PBE.

abc: 6.735 6.735 9.171
angles: 90.90 90.90 122.22
Fractional positions:
Au: 0.161 0.839 0.000
Au: 0.839 0.161 0.000
Cl: 0.130 0.468 0.144
Cl: 0.134 0.134 0.832
Cl: 0.416 0.416 0.591
Cl: 0.468 0.130 0.144
Cl: 0.532 0.870 0.856
Cl: 0.584 0.584 0.409
Cl: 0.866 0.866 0.168
Cl: 0.870 0.532 0.856

## Properties
The density of states at the Fermi level is 0.41 states/eV/atom. The energy relative to the elements, uncorrected is -64 meV/atom. For the density, the calculation gives 3.2 g/cm3.

---

(2)
Here is PrTmBr after structural relaxation from Alexandria. Energies are from PBE.

abc: 8.373 8.373 5.923
angles: 90.00 90.00 153.87
Fractional positions:
Pr: 0.133 0.867 0.750
Pr: 0.867 0.133 0.250
Tm: 0.454 0.546 0.750
Tm: 0.546 0.454 0.250
Br: 0.197 0.803 0.250
Br: 0.803 0.197 0.750

## Properties
The density of states at the Fermi level is 0.60 states/eV/atom. The energy relative to the elements, uncorrected is -753 meV/atom. For the density, the calculation gives 7.1 g/cm3.

---

(3)
Here is CaIn3Cu8 after structural relaxation from Alexandria. Energies are from PBE.

abc: 5.118 5.118 8.317
angles: 90.00 90.00 120.00
Fractional positions:
Ca: 0.000 0.000 0.000
In: 0.000 0.000 0.376
In: 0.667 0.333 0.496
In: 0.667 0.333 0.870
Cu: 0.166 0.331 0.681
Cu: 0.166 0.834 0.681
Cu: 0.333 0.667 0.432
Cu: 0.333 0.667 0.930
Cu: 0.501 0.002 0.188
Cu: 0.501 0.499 0.188
Cu: 0.669 0.834 0.681
Cu: 0.998 0.499 0.188

## Properties
The calculated formation energy is -0.07 eV per atom. The density of states at the Fermi level is 0.51 states/eV/atom. For the density, the calculation gives 7.9 g/cm3.

---

(4)
Here is Hf2Al2Co5Si after structural relaxation from Alexandria. Energies are from PBE.

abc: 9.638 9.638 2.881
angles: 90.00 90.00 90.00
Fractional positions:
Hf: 0.171 0.329 0.000
Hf: 0.329 0.829 0.000
Hf: 0.671 0.171 0.000
Hf: 0.829 0.671 0.000
Al: 0.132 0.632 0.000
Al: 0.368 0.132 0.000
Al: 0.632 0.868 0.000
Al: 0.868 0.368 0.000
Co: 0.000 0.500 0.500
Co: 0.038 0.807 0.500
Co: 0.193 0.038 0.500
Co: 0.307 0.538 0.500
Co: 0.462 0.307 0.500
Co: 0.500 0.000 0.500
Co: 0.538 0.693 0.500
Co: 0.693 0.462 0.500
Co: 0.807 0.962 0.500
Co: 0.962 0.193 0.500
Si: 0.000 0.000 0.000
Si: 0.500 0.500 0.000

## Properties
The density of states at the Fermi level is 0.70 states/eV/atom. The energy relative to the elements, uncorrected is -361 meV/atom. For the density, the calculation gives 9.1 g/cm3.

---

(5)
Here is NaPaAl2O6 after structural relaxation from Alexandria. Energies are from PBE.

abc: 7.077 7.077 5.368
angles: 97.60 97.60 88.52
Fractional positions:
Na: 0.080 0.920 0.750
Na: 0.920 0.080 0.250
Pa: 0.283 0.717 0.250
Pa: 0.717 0.283 0.750
Al: 0.211 0.385 0.703
Al: 0.385 0.211 0.203
Al: 0.615 0.789 0.797
Al: 0.789 0.615 0.297
O: 0.006 0.242 0.654
O: 0.170 0.606 0.885
O: 0.242 0.006 0.154
O: 0.289 0.409 0.402
O: 0.394 0.830 0.615
O: 0.409 0.289 0.902
O: 0.591 0.711 0.098
O: 0.606 0.170 0.385
O: 0.711 0.591 0.598
O: 0.758 0.994 0.846
O: 0.830 0.394 0.115
O: 0.994 0.758 0.346

## Properties
The density of states at the Fermi level is 0.00 states/eV/atom. The energy relative to the elements, uncorrected is -3009 meV/atom. For the density, the calculation gives 5.1 g/cm3.

---

(6)
Here is CsAsRu after structural relaxation from Alexandria. Energies are from PBE.

abc: 4.555 6.963 7.336
angles: 107.21 107.54 90.91
Fractional positions:
Cs: 0.093 0.311 0.205
Cs: 0.907 0.689 0.795
As: 0.349 0.175 0.694
As: 0.651 0.825 0.306
Ru: 0.197 0.893 0.395
Ru: 0.803 0.107 0.605

## Properties
The calculated formation energy is -0.08 eV per atom. The density of states at the Fermi level is 1.07 states/eV/atom. For the density, the calculation gives 4.9 g/cm3.